Material: AlTl2Rh
Method: DFT, PBE
State: relaxed

Geometry as POSCAR:
```
AlTl2Rh
1.0
10.359 0.000 0.000
0.000 10.359 0.000
5.179 5.179 2.388
Tl Rh Al
4 2 2
Direct
0.874 0.125 0.250
0.876 0.625 0.250
0.375 0.126 0.750
0.875 0.124 0.750
0.000 0.000 0.000
0.750 0.250 0.500
0.500 0.500 0.000
0.250 0.750 0.500
```

Energy relative to the lowest polymorph listed for this composition ... 154.9 meV per atom
Space-group type ... I-42d (122)
Electronic total energy ... -3.971 eV per atom
Energy relative to the elements ... -0.01 eV/atom
Total magnetization ... 0.000 μB/cell